(1)
Computed, not measured: Nb5Mo3H12 after structural relaxation at the PBE level of DFT.

Unit cell a=9.6629 b=9.6629 c=9.6629 alpha=109.47 beta=109.47 gamma=109.47
Last column: nearest neighbours and their distance in Å.
Fractional coordinates of all 80 atoms:
Nb (0.0000, 0.0000, 0.0000)  6 H 1.92
Nb (0.0000, 0.0000, 0.5000)  6 H 1.92
Nb (0.0000, 0.5000, 0.0000)  6 H 1.92
Nb (0.0000, 0.5000, 0.5000)  6 H 1.92
Nb (0.1250, 0.7500, 0.8750)  4 H 1.93
Nb (0.1250, 0.8750, 0.2500)  4 H 1.93
Nb (0.2500, 0.1250, 0.8750)  4 H 1.93
Nb (0.2500, 0.6250, 0.3750)  4 H 1.93
Nb (0.3750, 0.2500, 0.6250)  4 H 1.93
Nb (0.3750, 0.6250, 0.7500)  4 H 1.93
Nb (0.5000, 0.0000, 0.0000)  6 H 1.92
Nb (0.5000, 0.0000, 0.5000)  6 H 1.92
Nb (0.5000, 0.5000, 0.0000)  6 H 1.92
Nb (0.5000, 0.5000, 0.5000)  6 H 1.92
Nb (0.6250, 0.3750, 0.2500)  4 H 1.93
Nb (0.6250, 0.7500, 0.3750)  4 H 1.93
Nb (0.7500, 0.3750, 0.6250)  4 H 1.93
Nb (0.7500, 0.8750, 0.1250)  4 H 1.93
Nb (0.8750, 0.1250, 0.7500)  4 H 1.93
Nb (0.8750, 0.2500, 0.1250)  4 H 1.93
Mo (0.1250, 0.2500, 0.3750)  8 H 1.96-1.98
Mo (0.1250, 0.3750, 0.7500)  8 H 1.96-1.98
Mo (0.2500, 0.3750, 0.1250)  8 H 1.96-1.98
Mo (0.2500, 0.8750, 0.6250)  8 H 1.96-1.98
Mo (0.3750, 0.1250, 0.2500)  8 H 1.96-1.98
Mo (0.3750, 0.7500, 0.1250)  8 H 1.96-1.98
Mo (0.6250, 0.2500, 0.8750)  8 H 1.96-1.98
Mo (0.6250, 0.8750, 0.7500)  8 H 1.96-1.98
Mo (0.7500, 0.1250, 0.3750)  8 H 1.96-1.98
Mo (0.7500, 0.6250, 0.8750)  8 H 1.96-1.98
Mo (0.8750, 0.6250, 0.2500)  8 H 1.96-1.98
Mo (0.8750, 0.7500, 0.6250)  8 H 1.96-1.98
H (0.0736, 0.2304, 0.1530)  1 H 1.89, 2 Nb 1.92-1.93, 2 Mo 1.96-1.98
H (0.0736, 0.3432, 0.9206)  1 H 1.89, 2 Nb 1.92-1.93, 2 Mo 1.96-1.98
H (0.0774, 0.7304, 0.6568)  1 H 1.89, 2 Nb 1.92-1.93, 2 Mo 1.96-1.98
H (0.0774, 0.8470, 0.4206)  1 H 1.89, 2 Nb 1.92-1.93, 2 Mo 1.96-1.98
H (0.0794, 0.6530, 0.4226)  1 H 1.89, 2 Nb 1.92-1.93, 2 Mo 1.96-1.98
H (0.0794, 0.9264, 0.6568)  1 H 1.89, 2 Nb 1.92-1.93, 2 Mo 1.96-1.98
H (0.1530, 0.0736, 0.2304)  1 H 1.89, 2 Nb 1.92-1.93, 2 Mo 1.96-1.98
H (0.1530, 0.5794, 0.9226)  1 H 1.89, 2 Nb 1.92-1.93, 2 Mo 1.96-1.98
H (0.1568, 0.2304, 0.5774)  1 H 1.89, 2 Nb 1.92-1.93, 2 Mo 1.96-1.98
H (0.1568, 0.4264, 0.5794)  1 H 1.89, 2 Nb 1.92-1.93, 2 Mo 1.96-1.98
H (0.2304, 0.1530, 0.0736)  1 H 1.89, 2 Nb 1.92-1.93, 2 Mo 1.96-1.98
H (0.2304, 0.5774, 0.1568)  1 H 1.89, 2 Nb 1.92-1.93, 2 Mo 1.96-1.98
H (0.2696, 0.3432, 0.9226)  1 H 1.89, 2 Nb 1.92-1.93, 2 Mo 1.96-1.98
H (0.2696, 0.4264, 0.3470)  1 H 1.89, 2 Nb 1.92-1.93, 2 Mo 1.96-1.98
H (0.3432, 0.9206, 0.0736)  1 H 1.89, 2 Nb 1.92-1.93, 2 Mo 1.96-1.98
H (0.3432, 0.9226, 0.2696)  1 H 1.89, 2 Nb 1.92-1.93, 2 Mo 1.96-1.98
H (0.3470, 0.2696, 0.4264)  1 H 1.89, 2 Nb 1.92-1.93, 2 Mo 1.96-1.98
H (0.3470, 0.5774, 0.9206)  1 H 1.89, 2 Nb 1.92-1.93, 2 Mo 1.96-1.98
H (0.4206, 0.0774, 0.8470)  1 H 1.89, 2 Nb 1.92-1.93, 2 Mo 1.96-1.98
H (0.4206, 0.8432, 0.5736)  1 H 1.89, 2 Nb 1.92-1.93, 2 Mo 1.96-1.98
H (0.4226, 0.0794, 0.6530)  1 H 1.89, 2 Nb 1.92-1.93, 2 Mo 1.96-1.98
H (0.4226, 0.8432, 0.7696)  1 H 1.89, 2 Nb 1.92-1.93, 2 Mo 1.96-1.98
H (0.4264, 0.3470, 0.2696)  1 H 1.89, 2 Nb 1.92-1.93, 2 Mo 1.96-1.98
H (0.4264, 0.5794, 0.1568)  1 H 1.89, 2 Nb 1.92-1.93, 2 Mo 1.96-1.98
H (0.5736, 0.4206, 0.8432)  1 H 1.89, 2 Nb 1.92-1.93, 2 Mo 1.96-1.98
H (0.5736, 0.6530, 0.7304)  1 H 1.89, 2 Nb 1.92-1.93, 2 Mo 1.96-1.98
H (0.5774, 0.1568, 0.2304)  1 H 1.89, 2 Nb 1.92-1.93, 2 Mo 1.96-1.98
H (0.5774, 0.9206, 0.3470)  1 H 1.89, 2 Nb 1.92-1.93, 2 Mo 1.96-1.98
H (0.5794, 0.1568, 0.4264)  1 H 1.89, 2 Nb 1.92-1.93, 2 Mo 1.96-1.98
H (0.5794, 0.9226, 0.1530)  1 H 1.89, 2 Nb 1.92-1.93, 2 Mo 1.96-1.98
H (0.6530, 0.4226, 0.0794)  1 H 1.89, 2 Nb 1.92-1.93, 2 Mo 1.96-1.98
H (0.6530, 0.7304, 0.5736)  1 H 1.89, 2 Nb 1.92-1.93, 2 Mo 1.96-1.98
H (0.6568, 0.0774, 0.7304)  1 H 1.89, 2 Nb 1.92-1.93, 2 Mo 1.96-1.98
H (0.6568, 0.0794, 0.9264)  1 H 1.89, 2 Nb 1.92-1.93, 2 Mo 1.96-1.98
H (0.7304, 0.5736, 0.6530)  1 H 1.89, 2 Nb 1.92-1.93, 2 Mo 1.96-1.98
H (0.7304, 0.6568, 0.0774)  1 H 1.89, 2 Nb 1.92-1.93, 2 Mo 1.96-1.98
H (0.7696, 0.4226, 0.8432)  1 H 1.89, 2 Nb 1.92-1.93, 2 Mo 1.96-1.98
H (0.7696, 0.8470, 0.9264)  1 H 1.89, 2 Nb 1.92-1.93, 2 Mo 1.96-1.98
H (0.8432, 0.5736, 0.4206)  1 H 1.89, 2 Nb 1.92-1.93, 2 Mo 1.96-1.98
H (0.8432, 0.7696, 0.4226)  1 H 1.89, 2 Nb 1.92-1.93, 2 Mo 1.96-1.98
H (0.8470, 0.4206, 0.0774)  1 H 1.89, 2 Nb 1.92-1.93, 2 Mo 1.96-1.98
H (0.8470, 0.9264, 0.7696)  1 H 1.89, 2 Nb 1.92-1.93, 2 Mo 1.96-1.98
H (0.9206, 0.0736, 0.3432)  1 H 1.89, 2 Nb 1.92-1.93, 2 Mo 1.96-1.98
H (0.9206, 0.3470, 0.5774)  1 H 1.89, 2 Nb 1.92-1.93, 2 Mo 1.96-1.98
H (0.9226, 0.1530, 0.5794)  1 H 1.89, 2 Nb 1.92-1.93, 2 Mo 1.96-1.98
H (0.9226, 0.2696, 0.3432)  1 H 1.89, 2 Nb 1.92-1.93, 2 Mo 1.96-1.98
H (0.9264, 0.6568, 0.0794)  1 H 1.89, 2 Nb 1.92-1.93, 2 Mo 1.96-1.98
H (0.9264, 0.7696, 0.8470)  1 H 1.89, 2 Nb 1.92-1.93, 2 Mo 1.96-1.98

Calculated values
Total moment   0.00 Bohr magnetons per cell
Total DFT energy (no corrections)   -6.151 eV per atom
Space-group type   No. 230


(2)
Computed, not measured: Mg3ScAg2 after structural relaxation at the PBE level of DFT.

Unit cell a=4.5174 b=8.6442 c=6.3412 alpha=90.00 beta=90.00 gamma=90.00
Last column: nearest neighbours and their distance in Å.
Fractional coordinates of all 12 atoms:
Mg (0.0000, 0.0575, 0.0000)  5 Ag 2.90-3.14, 4 Mg 3.14-3.22
Mg (0.0000, 0.3041, 0.3782)  4 Ag 2.81-2.82
Mg (0.0000, 0.6959, 0.8782)  4 Ag 2.81-2.82
Mg (0.0000, 0.9425, 0.5000)  5 Ag 2.90-3.14, 4 Mg 3.14-3.22
Mg (0.5000, 0.1907, 0.7079)  4 Ag 2.79-2.84
Mg (0.5000, 0.8093, 0.2079)  4 Ag 2.79-2.84
Sc (0.5000, 0.4520, 0.0797)  5 Ag 2.90-3.09, 3 Mg 3.19-3.21
Sc (0.5000, 0.5480, 0.5797)  5 Ag 2.90-3.09, 3 Mg 3.19-3.21
Ag (0.0000, 0.3748, 0.8123)  5 Mg 2.81-2.99, 4 Sc 2.90-3.09
Ag (0.0000, 0.6252, 0.3123)  5 Mg 2.81-2.99, 4 Sc 2.90-3.09
Ag (0.5000, 0.1291, 0.2691)  6 Mg 2.79-2.90, 1 Sc 3.04
Ag (0.5000, 0.8709, 0.7691)  6 Mg 2.79-2.90, 1 Sc 3.04

Calculated values
Energy of formation from the pure elements   -0.176 eV per atom
Total moment   0.00 Bohr magnetons per cell
Distance to the lowest polymorph of the same formula   0 meV per atom
Space-group type   No. 26


(3)
Computed, not measured: MgBeSi2 after structural relaxation at the PBE level of DFT.

Unit cell a=4.3133 b=4.3133 c=15.0850 alpha=90.00 beta=90.00 gamma=90.00
Last column: nearest neighbours and their distance in Å.
Fractional coordinates of all 16 atoms:
Mg (0.0000, 0.0000, 0.0000)  4 Si 2.65
Mg (0.0000, 0.5000, 0.2500)  4 Si 2.65
Mg (0.5000, 0.0000, 0.7500)  4 Si 2.65
Mg (0.5000, 0.5000, 0.5000)  4 Si 2.65
Be (0.0000, 0.0000, 0.5000)  4 Si 2.27
Be (0.0000, 0.5000, 0.7500)  4 Si 2.27
Be (0.5000, 0.0000, 0.2500)  4 Si 2.27
Be (0.5000, 0.5000, 0.0000)  4 Si 2.27
Si (0.1492, 0.2500, 0.6250)  2 Be 2.27, 2 Si 2.51
Si (0.2500, 0.6492, 0.8750)  2 Be 2.27, 2 Si 2.51
Si (0.2500, 0.8508, 0.3750)  2 Be 2.27, 2 Si 2.51
Si (0.3508, 0.2500, 0.1250)  2 Be 2.27, 2 Si 2.51
Si (0.6492, 0.7500, 0.1250)  2 Be 2.27, 2 Si 2.51
Si (0.7500, 0.1492, 0.3750)  2 Be 2.27, 2 Si 2.51
Si (0.7500, 0.3508, 0.8750)  2 Be 2.27, 2 Si 2.51
Si (0.8508, 0.7500, 0.6250)  2 Be 2.27, 2 Si 2.51

Calculated values
Total moment   0.00 Bohr magnetons per cell
Distance to the lowest polymorph of the same formula   134 meV per atom
ΔE_f (raw)   0.235 eV per atom
Space-group type   No. 122


(4)
Computed, not measured: La2TbAs4Rh3 after structural relaxation at the PBE level of DFT.

Unit cell a=4.3737 b=4.3737 c=10.9267 alpha=90.00 beta=90.00 gamma=90.00
Last column: nearest neighbours and their distance in Å.
Fractional coordinates of all 10 atoms:
La (0.0000, 0.5000, 0.2218)  8 As 3.26-3.34, 5 Rh 3.33-3.60
La (0.5000, 0.0000, 0.7782)  8 As 3.26-3.34, 5 Rh 3.33-3.60
Tb (0.0000, 0.0000, 0.5000)  4 As 2.82, 4 Rh 3.09
As (0.0000, 0.0000, 0.0000)  4 Rh 2.48
As (0.0000, 0.5000, 0.6629)  1 Rh 2.51
As (0.5000, 0.0000, 0.3371)  1 Rh 2.51
As (0.5000, 0.5000, 0.0000)  4 Rh 2.48
Rh (0.0000, 0.5000, 0.8923)  5 As 2.48-2.51
Rh (0.5000, 0.0000, 0.1077)  5 As 2.48-2.51
Rh (0.5000, 0.5000, 0.5000)  4 As 2.82, 4 Tb 3.09

Calculated values
Energy of formation from the pure elements   -1.030 eV per atom
Total moment   0.00 Bohr magnetons per cell
Space-group type   No. 115


(5)
Computed, not measured: Ba2SrLi16 after structural relaxation at the PBE level of DFT.

Unit cell a=8.0934 b=8.0934 c=8.0934 alpha=82.82 beta=82.82 gamma=82.82
Last column: nearest neighbours and their distance in Å.
Fractional coordinates of all 19 atoms:
Ba (0.0000, 0.0000, 0.0000)  12 Li 3.78-3.86, 1 Sr 4.07
Ba (0.2981, 0.2981, 0.2981)  19 Li 3.72-4.13
Sr (0.7402, 0.7402, 0.7402)  13 Li 3.21-3.59
Li (0.1622, 0.6328, 0.6328)  9 Li 2.94-3.22
Li (0.3051, 0.3051, 0.7856)  7 Li 2.94-3.17
Li (0.3051, 0.7856, 0.3051)  7 Li 2.94-3.17
Li (0.3379, 0.6390, 0.9371)  8 Li 3.00-3.31
Li (0.3379, 0.9371, 0.6390)  8 Li 3.00-3.31
Li (0.4793, 0.9904, 0.9904)  8 Li 3.14-3.29, 1 Sr 3.40
Li (0.5355, 0.5355, 0.5355)  6 Li 3.06-3.17, 1 Sr 3.21
Li (0.6328, 0.1622, 0.6328)  9 Li 2.94-3.22
Li (0.6328, 0.6328, 0.1622)  9 Li 2.94-3.22
Li (0.6390, 0.3379, 0.9371)  8 Li 3.00-3.31
Li (0.6390, 0.9371, 0.3379)  8 Li 3.00-3.31
Li (0.7856, 0.3051, 0.3051)  7 Li 2.94-3.17
Li (0.9371, 0.3379, 0.6390)  8 Li 3.00-3.31
Li (0.9371, 0.6390, 0.3379)  8 Li 3.00-3.31
Li (0.9904, 0.4793, 0.9904)  8 Li 3.14-3.29, 1 Sr 3.40
Li (0.9904, 0.9904, 0.4793)  8 Li 3.14-3.29, 1 Sr 3.40

Calculated values
Energy of formation from the pure elements   0.032 eV per atom
Total moment   0.00 Bohr magnetons per cell
Space-group type   No. 160


(6)
Computed, not measured: Pu2PPb after structural relaxation at the PBE level of DFT.

Unit cell a=3.8584 b=3.8584 c=25.3226 alpha=90.00 beta=90.00 gamma=120.00
Last column: nearest neighbours and their distance in Å.
Fractional coordinates of all 12 atoms:
Pu (0.0000, 0.0000, 0.2329)  3 P 2.79
Pu (0.0000, 0.0000, 0.7671)  3 P 2.79
Pu (0.3333, 0.6667, 0.4338)  3 P 2.79
Pu (0.3333, 0.6667, 0.8996)  3 P 2.79
Pu (0.6667, 0.3333, 0.1004)  3 P 2.79
Pu (0.6667, 0.3333, 0.5662)  3 P 2.79
P (0.0000, 0.0000, 0.5000)  6 Pu 2.79
P (0.3333, 0.6667, 0.1667)  6 Pu 2.79
P (0.6667, 0.3333, 0.8333)  6 Pu 2.79
Pb (0.0000, 0.0000, 0.0000)  6 Pu 3.38
Pb (0.3333, 0.6667, 0.6667)  6 Pu 3.38
Pb (0.6667, 0.3333, 0.3333)  6 Pu 3.38

Calculated values
Energy of formation from the pure elements   -0.545 eV per atom
Total moment   33.04 Bohr magnetons per cell
Distance to the lowest polymorph of the same formula   70 meV per atom
Space-group type   No. 166